# 1
# AcPuSbSe | the Alexandria database | PBE | optimized geometry
data_AcPuSbSe
_cell_length_a 7.737
_cell_length_b 7.737
_cell_length_c 7.737
_cell_angle_alpha 90.00
_cell_angle_beta 90.00
_cell_angle_gamma 90.00
_space_group_name_H-M_alt 'F -4 3 m'
_space_group_IT_number 216
_space_group_name_Hall 'F -4 2 3'
loop_
_atom_site_label
_atom_site_fract_x
_atom_site_fract_y
_atom_site_fract_z
Ac1 0.000 0.000 0.000
Pu1 0.000 0.000 0.500
Sb1 0.250 0.250 0.250
Se1 0.250 0.250 0.750
# Uncorrected formation energy, meV/atom: -1072
# Total moment, μB/atom: 1.480
# E above lowest polymorph, kJ/mol of atoms: 0.00
# Calculated volume, Å³/cell: 463
# DFT total energy, eV for the cell shown: -121.348

***

# 2
# Hg2Se | the Alexandria database | PBE | optimized geometry
data_Hg2Se
_cell_length_a 7.8903
_cell_length_b 7.8903
_cell_length_c 4.2967
_cell_angle_alpha 90.00
_cell_angle_beta 90.00
_cell_angle_gamma 120.00
_space_group_name_H-M_alt 'P -6 2 m'
_space_group_IT_number 189
_space_group_name_Hall 'P -6 -2'
loop_
_atom_site_label
_atom_site_fract_x
_atom_site_fract_y
_atom_site_fract_z
Hg1 0.0000 0.2660 0.0000
Hg2 0.0000 0.5780 0.5000
Se1 0.0000 0.0000 0.5000
Se2 0.3333 0.6667 0.0000
# Uncorrected formation energy, meV/atom: 101
# Total moment, μB/atom: 0.000
# E above lowest polymorph, kJ/mol of atoms: 18.54
# Calculated volume, Å³/cell: 232
# DFT total energy, eV for the cell shown: -11.359

***

# 3
# Pm2NpO8 | the Alexandria database | PBE | optimized geometry
data_Pm2NpO8
_cell_length_a 4.464
_cell_length_b 5.799
_cell_length_c 6.622
_cell_angle_alpha 108.87
_cell_angle_beta 101.82
_cell_angle_gamma 104.32
_space_group_name_H-M_alt 'P -1'
_space_group_IT_number 2
_space_group_name_Hall '-P 1'
loop_
_atom_site_label
_atom_site_fract_x
_atom_site_fract_y
_atom_site_fract_z
Pm1 0.204 0.152 0.319
Np1 0.500 0.500 0.000
O1 0.069 0.276 0.999
O2 0.241 0.875 0.537
O3 0.368 0.497 0.698
O4 0.408 0.042 0.780
# Uncorrected formation energy, meV/atom: -2478
# Total moment, μB/atom: 0.091
# Calculated volume, Å³/cell: 149
# DFT total energy, eV for the cell shown: -89.371

***

# 4
# HoTh2RhN4 | the Alexandria database | PBE | optimized geometry
data_HoTh2RhN4
_cell_length_a 3.440
_cell_length_b 11.997
_cell_length_c 12.037
_cell_angle_alpha 90.00
_cell_angle_beta 90.00
_cell_angle_gamma 90.00
_space_group_name_H-M_alt 'C m c m'
_space_group_IT_number 63
_space_group_name_Hall '-C 2c 2'
loop_
_atom_site_label
_atom_site_fract_x
_atom_site_fract_y
_atom_site_fract_z
Ho1 0.000 0.116 0.250
Th1 0.000 0.370 0.057
Rh1 0.000 0.148 0.750
N1 0.000 0.000 0.000
N2 0.000 0.279 0.624
N3 0.000 0.466 0.250
# Uncorrected formation energy, meV/atom: -1074
# Total moment, μB/atom: 0.000
# Calculated volume, Å³/cell: 497
# DFT total energy, eV for the cell shown: -274.663

***

# 5
# TaCoP2 | the Alexandria database | PBE | optimized geometry
data_TaCoP2
_cell_length_a 3.234
_cell_length_b 3.309
_cell_length_c 10.228
_cell_angle_alpha 90.00
_cell_angle_beta 90.00
_cell_angle_gamma 90.00
_space_group_name_H-M_alt 'I m m 2'
_space_group_IT_number 44
_space_group_name_Hall 'I 2 -2'
loop_
_atom_site_label
_atom_site_fract_x
_atom_site_fract_y
_atom_site_fract_z
Ta1 0.000 0.000 0.000
Co1 0.000 0.500 0.742
P1 0.000 0.000 0.404
P2 0.000 0.500 0.183
# Total moment, μB/atom: 0.000
# E above lowest polymorph, kJ/mol of atoms: 0.00
# DFT formation energy, eV/atom: -0.510
# Calculated volume, Å³/cell: 109
# DFT total energy, eV for the cell shown: -63.635

***

# 6
# HfCdRh | the Alexandria database | PBE | optimized geometry
data_HfCdRh
_cell_length_a 3.458
_cell_length_b 3.458
_cell_length_c 9.378
_cell_angle_alpha 90.00
_cell_angle_beta 90.00
_cell_angle_gamma 90.00
_space_group_name_H-M_alt 'I 4 m m'
_space_group_IT_number 107
_space_group_name_Hall 'I 4 -2'
loop_
_atom_site_label
_atom_site_fract_x
_atom_site_fract_y
_atom_site_fract_z
Hf1 0.000 0.000 0.000
Cd1 0.000 0.000 0.691
Rh1 0.000 0.000 0.372
# Total moment, μB/atom: 0.000
# DFT formation energy, eV/atom: -0.477
# Calculated volume, Å³/cell: 112
# DFT total energy, eV for the cell shown: -39.304

***

# 7
# LaZn2SnH | the Alexandria database | PBE | optimized geometry
data_LaZn2SnH
_cell_length_a 4.617
_cell_length_b 4.617
_cell_length_c 4.558
_cell_angle_alpha 90.00
_cell_angle_beta 90.00
_cell_angle_gamma 90.00
_space_group_name_H-M_alt 'P 4/m m m'
_space_group_IT_number 123
_space_group_name_Hall '-P 4 2'
loop_
_atom_site_label
_atom_site_fract_x
_atom_site_fract_y
_atom_site_fract_z
La1 0.000 0.000 0.000
Zn1 0.000 0.500 0.500
Sn1 0.500 0.500 0.000
H1 0.000 0.000 0.500
# Total moment, μB/atom: 0.000
# Calculated volume, Å³/cell: 97
# DFT total energy, eV for the cell shown: -16.260

***

# 8
# CeTiNi2As2 | the Alexandria database | PBE | optimized geometry
data_CeTiNi2As2
_cell_length_a 4.0896
_cell_length_b 4.0896
_cell_length_c 6.8520
_cell_angle_alpha 90.00
_cell_angle_beta 90.00
_cell_angle_gamma 120.00
_space_group_name_H-M_alt 'P -3 m 1'
_space_group_IT_number 164
_space_group_name_Hall '-P 3 2"'
loop_
_atom_site_label
_atom_site_fract_x
_atom_site_fract_y
_atom_site_fract_z
Ce1 0.0000 0.0000 0.0000
Ti1 0.0000 0.0000 0.5000
Ni1 0.3333 0.6667 0.6613
As1 0.3333 0.6667 0.2733
# Total moment, μB/atom: 0.081
# DFT formation energy, eV/atom: -0.862
# Calculated volume, Å³/cell: 99
# DFT total energy, eV for the cell shown: -39.865

***

# 9
# Tb2Ce3NdS6 | the Alexandria database | PBE | optimized geometry
data_Tb2Ce3NdS6
_cell_length_a 6.917
_cell_length_b 11.989
_cell_length_c 6.955
_cell_angle_alpha 90.00
_cell_angle_beta 109.41
_cell_angle_gamma 90.00
_space_group_name_H-M_alt 'C 1 2/m 1'
_space_group_IT_number 12
_space_group_name_Hall '-C 2y'
loop_
_atom_site_label
_atom_site_fract_x
_atom_site_fract_y
_atom_site_fract_z
Tb1 0.000 0.167 0.000
Ce1 0.000 0.000 0.500
Ce2 0.000 0.336 0.500
Nd1 0.000 0.500 0.000
S1 0.240 0.000 0.242
S2 0.248 0.170 0.755
# Uncorrected formation energy, meV/atom: -2035
# Total moment, μB/atom: 0.211
# Calculated volume, Å³/cell: 544
# DFT total energy, eV for the cell shown: -162.037

***

# 10
# Ce3Pm2ErAs6 | the Alexandria database | PBE | optimized geometry
data_Ce3Pm2ErAs6
_cell_length_a 7.280
_cell_length_b 12.609
_cell_length_c 7.272
_cell_angle_alpha 90.00
_cell_angle_beta 109.51
_cell_angle_gamma 90.00
_space_group_name_H-M_alt 'C 1 2/m 1'
_space_group_IT_number 12
_space_group_name_Hall '-C 2y'
loop_
_atom_site_label
_atom_site_fract_x
_atom_site_fract_y
_atom_site_fract_z
Ce1 0.000 0.000 0.000
Ce2 0.000 0.332 0.000
Pm1 0.000 0.166 0.500
Er1 0.000 0.500 0.500
As1 0.244 0.500 0.249
As2 0.247 0.336 0.750
# Total moment, μB/atom: 0.158
# DFT formation energy, eV/atom: -1.475
# Calculated volume, Å³/cell: 629
# DFT total energy, eV for the cell shown: -154.927

***

# 11
# LiAc2Hg6Pd | the Alexandria database | PBE | optimized geometry
data_LiAc2Hg6Pd
_cell_length_a 10.169
_cell_length_b 10.271
_cell_length_c 7.106
_cell_angle_alpha 90.00
_cell_angle_beta 133.98
_cell_angle_gamma 90.00
_space_group_name_H-M_alt 'C 1 2/m 1'
_space_group_IT_number 12
_space_group_name_Hall '-C 2y'
loop_
_atom_site_label
_atom_site_fract_x
_atom_site_fract_y
_atom_site_fract_z
Li1 0.000 0.000 0.000
Ac1 0.000 0.285 0.500
Hg1 0.000 0.240 0.000
Hg2 0.201 0.000 0.920
Hg3 0.218 0.000 0.480
Pd1 0.000 0.500 0.000
# Total moment, μB/atom: 0.000
# DFT formation energy, eV/atom: -0.281
# Calculated volume, Å³/cell: 534
# DFT total energy, eV for the cell shown: -39.896

***

# 12
# SrInHg | the Alexandria database | PBE | optimized geometry
data_SrInHg
_cell_length_a 11.743
_cell_length_b 5.036
_cell_length_c 8.019
_cell_angle_alpha 90.00
_cell_angle_beta 131.57
_cell_angle_gamma 90.00
_space_group_name_H-M_alt 'C 1 2/m 1'
_space_group_IT_number 12
_space_group_name_Hall '-C 2y'
loop_
_atom_site_label
_atom_site_fract_x
_atom_site_fract_y
_atom_site_fract_z
Sr1 0.040 0.000 0.297
In1 0.163 0.500 0.108
Hg1 0.167 0.500 0.710
# Total moment, μB/atom: 0.000
# DFT formation energy, eV/atom: -0.479
# Calculated volume, Å³/cell: 355
# DFT total energy, eV for the cell shown: -24.640